# 1
Computed, not measured: a PBEsol-optimized structure of AgH5S2O9 at the meta-GGA SCAN level of DFT.

Output
The total magnetic moment is 0.000 μB per formula unit. As for the total energy: -144.40 eV/f.u.

Lattice parameters (Å, degrees): 7.1720 13.0122 8.0737 90.00 107.59 90.00
Space group P2_1/c (No. 14)
One atom of each set of equivalent atoms:
1 Ag 0.1030 0.0377 0.2791
2 H 0.1428 0.7162 0.9428
3 H 0.3149 0.2292 0.5392
4 H 0.3674 0.5701 0.4853
5 H 0.4545 0.1956 0.2055
6 H 0.4716 0.1743 0.7195
7 S 0.0088 0.6949 0.6084
8 S 0.3899 0.5166 0.2351
9 O 0.0814 0.1140 0.0137
10 O 0.0985 0.6530 0.7849
11 O 0.1324 0.2217 0.3912
12 O 0.1834 0.7432 0.5610
13 O 0.2371 0.0145 0.5815
14 O 0.2814 0.5666 0.3556
15 O 0.4471 0.2364 0.6380
16 O 0.4709 0.0921 0.2940
17 O 0.4984 0.0746 0.8312

---

# 2
Computed, not measured: a PBEsol-optimized structure of CaAg2As at the meta-GGA SCAN level of DFT.

Output
The total magnetic moment is 0.000 μB per formula unit. The energy relative to the elements comes out at -0.360 eV/atom.

Lattice parameters (Å, degrees): 4.1379 4.1379 9.1717 90.00 90.00 90.00
Space group I4/mmm (No. 139)
One atom of each set of equivalent atoms:
1 Ca 0.0000 0.0000 0.0000
2 Ag 0.0000 0.5000 0.2500
3 As 0.0000 0.0000 0.5000

---

# 3
Computed, not measured: a PBEsol-optimized structure of SbMoAs3 at the meta-GGA SCAN level of DFT.

Output
The total magnetic moment is 2.800 μB per formula unit. The calculation puts the uncorrected formation energy at 1.5070 eV/atom.

Lattice parameters (Å, degrees): 5.0812 5.0812 5.0812 90.00 90.00 90.00
Space group Pm-3m (No. 221)
One atom of each set of equivalent atoms:
1 Sb 0.0000 0.0000 0.0000
2 Mo 0.5000 0.5000 0.5000
3 As 0.0000 0.0000 0.5000

---

# 4
Computed, not measured: a PBEsol-optimized structure of YMoPb2 at the meta-GGA SCAN level of DFT.

Output
The total magnetic moment is 1.107 μB per formula unit. The energy relative to the elements comes out at 0.193 eV/atom.

Lattice parameters (Å, degrees): 6.3916 8.2037 3.5666 90.00 100.62 90.00
Space group C2/m (No. 12)
One atom of each set of equivalent atoms:
1 Y 0.0000 0.0000 0.0000
2 Mo 0.0000 0.5000 0.0000
3 Pb 0.2500 0.2500 0.5000

---

> What is the total magnetic moment in the fourth record?

1.107 μB per formula unit

---

> What is the total magnetic moment in the fourth record?

1.107 μB per formula unit